Density functional theory data (meta-GGA SCAN) for a PBEsol-optimized structure of InTcAs2.

The value obtained for the volume is 17.33 A^3/atom. The electronic total energy is -425.09 eV/cell. The calculation puts the formation energy at 0.64 eV/atom.

The structure belongs to space group F-43m (No. 216); the cell edges are 6.5213, 6.5213 and 6.5213 Å and the angles 90.00°, 90.00° and 90.00°. The inequivalent atoms are In at (0.0000, 0.0000, 0.0000), Tc at (0.2500, 0.2500, 0.7500), As at (0.0000, 0.0000, 0.5000) and As at (0.2500, 0.2500, 0.2500).